A plane-wave DFT calculation with PBE with a Hubbard U was carried out for a relaxed structure of NbCd2FeO6.

Geometry as CIF:
```
data_NbCd2FeO6
_chemical_formula_sum 'Nb3 Cd6 Fe3 O18'
_symmetry_space_group_name_H-M 'R -3'
_symmetry_Int_Tables_number 148
_symmetry_space_group_name_Hall '-R 3'
_cell_length_a 5.4481
_cell_length_b 5.4481
_cell_length_c 13.6024
_cell_angle_alpha 90.00
_cell_angle_beta 90.00
_cell_angle_gamma 120.00
loop_
_atom_site_label
_atom_site_type_symbol
_atom_site_fract_x
_atom_site_fract_y
_atom_site_fract_z
Nb1 Nb 0.0000 0.0000 0.0000
Cd1 Cd 0.0000 0.0000 0.2432
Fe1 Fe 0.0000 0.0000 0.5000
O1 O 0.0027 0.5921 0.2484
```

Values from the calculation:
spin magnetization = 1.0 μB/f.u.
electronic total energy = -6.2119 eV per atom